1.
# KMg4Pb8 PBE optimized geometry
# - DFT formation energy (eV/atom) = 0.03
# - raw total energy (eV per atom) = -2.83
# - energy above the most stable polymorph in this dataset (kJ/mol of formula units) = 116
# - space group = R-3m
data_KMg4Pb8
_space_group_name_H-M_alt 'P 1'
_space_group_IT_number 1
_space_group_name_Hall 'P 1'
_cell_length_a 7.472
_cell_length_b 7.472
_cell_length_c 7.472
_cell_angle_alpha 85.85
_cell_angle_beta 85.85
_cell_angle_gamma 85.85
loop_
_atom_site_label
_atom_site_type_symbol
_atom_site_fract_x
_atom_site_fract_y
_atom_site_fract_z
_atom_site_occupancy
K1 K 0.000 0.000 0.000 1
Mg1 Mg 0.500 0.500 0.500 1
Mg2 Mg 0.500 0.500 0.000 1
Mg3 Mg 0.000 0.500 0.500 1
Mg4 Mg 0.500 0.000 0.500 1
Pb1 Pb 0.777 0.276 0.276 1
Pb2 Pb 0.276 0.276 0.777 1
Pb3 Pb 0.276 0.777 0.276 1
Pb4 Pb 0.254 0.254 0.254 1
Pb5 Pb 0.746 0.746 0.746 1
Pb6 Pb 0.724 0.724 0.223 1
Pb7 Pb 0.724 0.223 0.724 1
Pb8 Pb 0.223 0.724 0.724 1

***

2.
# NbAgI2N PBE optimized geometry
# - raw total energy (eV per atom) = -4.71
# - energy above the most stable polymorph in this dataset (kJ/mol of formula units) = 0
# - space group = P4/mmm
# - ΔE_f (raw) (eV/atom) = 0.154
data_NbAgI2N
_space_group_name_H-M_alt 'P 1'
_space_group_IT_number 1
_space_group_name_Hall 'P 1'
_cell_length_a 5.794
_cell_length_b 5.794
_cell_length_c 3.933
_cell_angle_alpha 90.00
_cell_angle_beta 90.00
_cell_angle_gamma 90.00
loop_
_atom_site_label
_atom_site_type_symbol
_atom_site_fract_x
_atom_site_fract_y
_atom_site_fract_z
_atom_site_occupancy
I1 I 0.000 0.500 0.000 1
I2 I 0.500 0.000 0.000 1
Nb1 Nb 0.000 0.000 0.000 1
Ag1 Ag 0.500 0.500 0.500 1
N1 N 0.000 0.000 0.500 1

***

3.
# Sm6In6Pb PBE optimized geometry
# - DFT formation energy (eV/atom) = -0.34
# - raw total energy (eV per atom) = -4.07
# - space group = P6/mmm
data_Sm6In6Pb
_space_group_name_H-M_alt 'P 1'
_space_group_IT_number 1
_space_group_name_Hall 'P 1'
_cell_length_a 6.470
_cell_length_b 6.470
_cell_length_c 10.706
_cell_angle_alpha 90.00
_cell_angle_beta 90.00
_cell_angle_gamma 120.00
loop_
_atom_site_label
_atom_site_type_symbol
_atom_site_fract_x
_atom_site_fract_y
_atom_site_fract_z
_atom_site_occupancy
Sm1 Sm 0.000 0.000 0.695 1
Sm2 Sm 0.000 0.000 0.305 1
Sm3 Sm 0.333 0.667 0.000 1
Sm4 Sm 0.667 0.333 0.000 1
Sm5 Sm 0.333 0.667 0.500 1
Sm6 Sm 0.667 0.333 0.500 1
In1 In 0.000 0.500 0.747 1
In2 In 0.500 0.000 0.747 1
In3 In 0.500 0.500 0.747 1
In4 In 0.500 0.000 0.253 1
In5 In 0.000 0.500 0.253 1
In6 In 0.500 0.500 0.253 1
Pb1 Pb 0.000 0.000 0.000 1